--- A ---
# PBE NaLiP2, optimized geometry
# DOS at the Fermi energy, states/eV per cell: 6.36
# Magnetization, μB/f.u.: 0.0
data_NaLiP2
_chemical_formula_sum 'Na4 Li4 P8'
_space_group_name_H-M_alt 'F m -3 m'
_space_group_IT_number 225
_space_group_name_Hall '-F 4 2 3'
_cell_length_a 6.447
_cell_length_b 6.447
_cell_length_c 6.447
_cell_angle_alpha 90.00
_cell_angle_beta 90.00
_cell_angle_gamma 90.00
loop_
_atom_site_label
_atom_site_fract_x
_atom_site_fract_y
_atom_site_fract_z
_atom_site_occupancy
Na1 0.000 0.000 0.000 1
Li1 0.000 0.000 0.500 1
P1 0.250 0.250 0.250 1

***

--- B ---
# PBE NaLiP2, optimized geometry
# DOS at the Fermi energy, states/eV per cell: 7.22
# Magnetization, μB/f.u.: 0.0
data_NaLiP2
_chemical_formula_sum 'Na4 Li4 P8'
_space_group_name_H-M_alt 'I -4 2 d'
_space_group_IT_number 122
_space_group_name_Hall 'I -4 2bw'
_cell_length_a 4.140
_cell_length_b 4.140
_cell_length_c 17.475
_cell_angle_alpha 90.00
_cell_angle_beta 90.00
_cell_angle_gamma 90.00
loop_
_atom_site_label
_atom_site_fract_x
_atom_site_fract_y
_atom_site_fract_z
_atom_site_occupancy
Na1 0.000 0.000 0.000 1
Li1 0.000 0.000 0.500 1
P1 0.150 0.750 0.625 1

***

Energies relative to the minimum, meV/atom: A 210; B 0